Record 1
A relaxed structure of Pr2MgSn4Pt3, computed with PBE-GGA.

abc: 4.4800 4.4800 11.5880
angles: 90.00 90.00 90.00
Space group P-4m2 (No. 115)
Unique sites:
Pr  0.0000  0.5000  0.2492 [2 per cell]
Mg  0.0000  0.0000  0.5000 [1 per cell]
Sn  0.0000  0.0000  0.0000 [1 per cell]
Sn  0.0000  0.5000  0.6429 [2 per cell]
Sn  0.5000  0.5000  0.0000 [1 per cell]
Pt  0.0000  0.5000  0.8695 [2 per cell]
Pt  0.5000  0.5000  0.5000 [1 per cell]

Results
The calculation puts the energy relative to the elements at -793 meV/atom.

***

Record 2
A relaxed structure of Pr2MgSn3Pt4, computed with PBE-GGA.

abc: 4.5742 4.5742 10.7541
angles: 90.00 90.00 90.00
Space group P-4m2 (No. 115)
Unique sites:
Pr  0.0000  0.5000  0.2411 [2 per cell]
Mg  0.0000  0.0000  0.5000 [1 per cell]
Sn  0.0000  0.5000  0.8701 [2 per cell]
Sn  0.5000  0.5000  0.5000 [1 per cell]
Pt  0.0000  0.0000  0.0000 [1 per cell]
Pt  0.0000  0.5000  0.6294 [2 per cell]
Pt  0.5000  0.5000  0.0000 [1 per cell]

Results
The calculation puts the energy relative to the elements at -869 meV/atom.

***

Record 3
A relaxed structure of PrMgSnPt3, computed with PBE-GGA.

abc: 5.7751 17.3356 5.7661
angles: 90.00 90.00 90.00
Space group Cmcm (No. 63)
Unique sites:
Pr  0.0000  0.2242  0.2500 [4 per cell]
Mg  0.0000  0.3980  0.7500 [4 per cell]
Sn  0.0000  0.0937  0.7500 [4 per cell]
Pt  0.0000  0.2465  0.7500 [4 per cell]
Pt  0.2365  0.5000  0.0000 [8 per cell]

Results
The calculation puts the energy relative to the elements at -610 meV/atom.

***

Record 4
A relaxed structure of TbPrMgPt, computed with PBE-GGA.

abc: 7.3593 7.3593 7.3593
angles: 90.00 90.00 90.00
Space group F-43m (No. 216)
Unique sites:
Tb  0.0000  0.0000  0.0000 [4 per cell]
Pr  0.0000  0.0000  0.5000 [4 per cell]
Mg  0.2500  0.2500  0.2500 [4 per cell]
Pt  0.2500  0.2500  0.7500 [4 per cell]

Results
The calculation puts the energy relative to the elements at -517 meV/atom.

***

Record 5
A relaxed structure of PrMgTlPt, computed with PBE-GGA.

abc: 7.1993 7.1993 7.1993
angles: 90.00 90.00 90.00
Space group F-43m (No. 216)
Unique sites:
Pr  0.0000  0.0000  0.0000 [4 per cell]
Mg  0.0000  0.0000  0.5000 [4 per cell]
Tl  0.2500  0.2500  0.2500 [4 per cell]
Pt  0.2500  0.2500  0.7500 [4 per cell]

Results
The calculation puts the energy relative to the elements at -546 meV/atom.

***

Record 6
A relaxed structure of PrTmMgPt, computed with PBE-GGA.

abc: 7.2969 7.2969 7.2969
angles: 90.00 90.00 90.00
Space group F-43m (No. 216)
Unique sites:
Pr  0.0000  0.0000  0.0000 [4 per cell]
Tm  0.0000  0.0000  0.5000 [4 per cell]
Mg  0.2500  0.2500  0.7500 [4 per cell]
Pt  0.2500  0.2500  0.2500 [4 per cell]

Results
The calculation puts the energy relative to the elements at -537 meV/atom.

***

| no. | total magnetization (μB/cell) | electronic total energy (eV per atom) |
| --- | --- | --- |
| 1 | 0.0 | -5.3219 |
| 2 | 0.0 | -5.6014 |
| 3 | 0.0 | -5.3600 |
| 4 | 0.0 | -4.7780 |
| 5 | 0.0 | -4.2410 |
| 6 | 0.0 | -4.7587 |